Record 1
Density functional theory data (PBE) for an optimized crystal structure of Nd3Sm4ErTe8.

Cell: 8.8907 8.8907 8.8907 Å, 60.18 60.18 60.18°
With the nearest neighbours (Å) after each atom.
Positions (direct):
Nd 0.0000 0.5000 0.5000  6 Te 3.17
Nd 0.5000 0.0000 0.5000  6 Te 3.17
Nd 0.5000 0.5000 0.0000  6 Te 3.17
Sm 0.0000 0.0000 0.5000  6 Te 3.13
Sm 0.0000 0.5000 0.0000  6 Te 3.13
Sm 0.5000 0.0000 0.0000  6 Te 3.13
Sm 0.5000 0.5000 0.5000  6 Te 3.20
Er 0.0000 0.0000 0.0000  6 Te 3.10
Te 0.2430 0.7540 0.7540  1 Er 3.10, 3 Sm 3.13-3.20, 2 Nd 3.17
Te 0.2460 0.2460 0.7570  1 Er 3.10, 3 Sm 3.13-3.20, 2 Nd 3.17
Te 0.2460 0.7570 0.2460  1 Er 3.10, 3 Sm 3.13-3.20, 2 Nd 3.17
Te 0.2485 0.2485 0.2485  3 Sm 3.13, 3 Nd 3.17
Te 0.7515 0.7515 0.7515  3 Sm 3.13, 3 Nd 3.17
Te 0.7540 0.2430 0.7540  1 Er 3.10, 3 Sm 3.13-3.20, 2 Nd 3.17
Te 0.7540 0.7540 0.2430  1 Er 3.10, 3 Sm 3.13-3.20, 2 Nd 3.17
Te 0.7570 0.2460 0.2460  1 Er 3.10, 3 Sm 3.13-3.20, 2 Nd 3.17

- Crystal system: trigonal
- Energy: -5.30 eV per atom
- V: 31.18 Å³ per atom

---

Record 2
Density functional theory data (PBE) for an optimized crystal structure of Pr12AlCu6.

Cell: 8.8649 8.8649 8.8649 Å, 109.47 109.47 109.47°
With the nearest neighbours (Å) after each atom.
Positions (direct):
Pr 0.1090 0.2956 0.8134  3 Cu 2.87-3.09
Pr 0.1866 0.4822 0.2956  3 Cu 2.87-3.09
Pr 0.1866 0.8910 0.7044  3 Cu 2.87-3.09
Pr 0.2956 0.1866 0.4822  3 Cu 2.87-3.09
Pr 0.2956 0.8134 0.1090  3 Cu 2.87-3.09
Pr 0.4822 0.2956 0.1866  3 Cu 2.87-3.09
Pr 0.5178 0.7044 0.8134  3 Cu 2.87-3.09
Pr 0.7044 0.1866 0.8910  3 Cu 2.87-3.09
Pr 0.7044 0.8134 0.5178  3 Cu 2.87-3.09
Pr 0.8134 0.1090 0.2956  3 Cu 2.87-3.09
Pr 0.8134 0.5178 0.7044  3 Cu 2.87-3.09
Pr 0.8910 0.7044 0.1866  3 Cu 2.87-3.09
Al 0.0000 0.0000 0.0000  12 Pr 3.58
Cu 0.1212 0.5000 0.6212  1 Cu 2.48
Cu 0.3788 0.8788 0.5000  1 Cu 2.48
Cu 0.5000 0.3788 0.8788  1 Cu 2.48
Cu 0.5000 0.6212 0.1212  1 Cu 2.48
Cu 0.6212 0.1212 0.5000  1 Cu 2.48
Cu 0.8788 0.5000 0.3788  1 Cu 2.48

- Formation enthalpy at 0 K: -1.98 kcal/mol of atoms
- Crystal system: cubic
- V: 28.23 Å³ per atom

---

Record 3
Density functional theory data (PBE) for an optimized crystal structure of Gd4Ge2N.

Cell: 8.4223 8.4223 8.4223 Å, 147.95 147.95 45.96°
With the nearest neighbours (Å) after each atom.
Positions (direct):
Gd 0.0000 0.5000 0.5000  2 N 2.33
Gd 0.1707 0.1707 0.0000  1 N 2.65
Gd 0.5000 0.0000 0.5000  2 N 2.33
Gd 0.8293 0.8293 0.0000  1 N 2.65
Ge 0.3634 0.3634 0.0000  9 Gd 2.99-3.33
Ge 0.6366 0.6366 0.0000  9 Gd 2.99-3.33
N 0.0000 0.0000 0.0000  4 Gd 2.33

- Crystal system: tetragonal
- Energy: -11.52 eV per atom
- V: 23.95 Å³ per atom

---

Record 4
Density functional theory data (PBE) for an optimized crystal structure of LaHNF2.

Cell: 4.7019 4.7019 5.1949 Å, 90.00 90.00 90.00°
With the nearest neighbours (Å) after each atom.
Positions (direct):
La 0.0000 0.0000 0.0000  4 F 2.35, 2 N 2.60
H 0.5000 0.5000 0.5000  4 N 3.32, 8 F 3.50
N 0.0000 0.0000 0.5000  2 La 2.60
F 0.0000 0.5000 0.0000  2 La 2.35
F 0.5000 0.0000 0.0000  2 La 2.35

- Energy relative to the lowest polymorph listed for this composition: 156 meV per atom
- Crystal system: tetragonal
- V: 22.97 Å³ per atom

---

These records have D(E_F) values of 12.68, 25.94, 7.44, 0.37 states/eV per cell, in the order they appear.